NaIn3Au | meta-GGA SCAN | single point on PBEsol structure

Results
* uncorrected energy: -33.993 eV per atom
* ΔH_f (0 K): 344 kJ/mol of formula units

Unit cell a=5.279 b=5.279 c=5.279 alpha=90.00 beta=90.00 gamma=90.00
Atoms (fractional coordinates):
Na 0.000 0.000 0.000
In 0.000 0.000 0.500
In 0.000 0.500 0.000
In 0.500 0.000 0.000
Au 0.500 0.500 0.500